Entry 1:
Material: ZrNbS2
Method: DFT, PBE-GGA
State: optimized geometry Values from VASP.

The structure in Quantum ESPRESSO input format:
```
&SYSTEM
  ibrav = 0, nat = 8, ntyp = 3
/
ATOMIC_SPECIES
Zr 91.22 Zr.upf
Nb 92.91 Nb.upf
S 32.06 S.upf
CELL_PARAMETERS angstrom
-2.388 2.388 7.304
2.388 -2.388 7.304
2.388 2.388 -7.304
ATOMIC_POSITIONS angstrom
Zr 0.000 0.000 0.000
Zr 0.000 2.388 3.652
Nb 2.388 0.000 3.652
Nb 0.000 0.000 7.304
S 1.194 -1.078 5.478
S 1.310 1.194 1.826
S 1.194 3.467 -1.826
S 1.078 1.194 9.130
```

Properties
Relative energy among the computed polymorphs in meV/atom: 446
Crystal system: tetragonal
Formation energy from raw total energies in meV/atom: -652
M_tot in μB per formula unit: 0.00

***

Entry 2:
Material: LiBi5Se8
Method: DFT, PBE-GGA
State: optimized geometry Values from VASP.

The structure in Quantum ESPRESSO input format:
```
&SYSTEM
  ibrav = 0, nat = 14, ntyp = 3
/
ATOMIC_SPECIES
Li 6.94 Li.upf
Bi 208.98 Bi.upf
Se 78.96 Se.upf
CELL_PARAMETERS angstrom
0.000 6.091 6.091
6.091 0.000 6.091
6.091 6.091 0.000
ATOMIC_POSITIONS angstrom
Li 0.000 0.000 0.000
Bi 7.678 4.504 4.504
Bi 3.046 3.046 3.046
Bi 4.504 7.678 4.504
Bi 4.504 4.504 7.678
Bi 7.678 7.678 7.678
Se 4.670 4.670 4.670
Se 7.513 7.513 4.670
Se 7.513 4.670 7.513
Se 10.598 7.676 7.676
Se 4.670 7.513 7.513
Se 7.676 10.598 7.676
Se 7.676 7.676 10.598
Se 10.598 10.598 10.598
```

Properties
Crystal system: cubic
Formation energy from raw total energies in meV/atom: -452
M_tot in μB per formula unit: 0.00